No. 1
A plane-wave DFT calculation with PBE-GGA was carried out for an optimized crystal structure of GaAg3I6.

Lattice parameters (Å, degrees): 10.3987 8.0978 10.4101 90.00 113.82 90.00
Last column: nearest neighbours and their distance in Å.
Space group P2_1 (No. 4)
One atom of each set of equivalent atoms:
Ga: 0.2112 0.0000 0.2888 x2  4 I 2.53-2.67
Ag: 0.1671 0.1744 0.8483 x2  4 I 2.84-3.01
Ag: 0.3483 0.6747 0.6670 x2  4 I 2.84-3.02
Ag: 0.4958 0.2597 0.0044 x2  4 I 2.96-3.04, 2 Ag 3.21
I: 0.1014 0.9460 0.0194 x2  1 Ga 2.60, 1 Ag 2.84
I: 0.1089 0.7541 0.3908 x2  1 Ga 2.67
I: 0.1409 0.2741 0.3587 x2  1 Ga 2.53
I: 0.2715 0.5068 0.8712 x2  4 Ag 2.88-3.03
I: 0.3711 0.0068 0.7709 x2  4 Ag 2.87-3.04
I: 0.4809 0.9461 0.3990 x2  1 Ga 2.60, 1 Ag 2.84

Output
Mass density in g/cm3: 4.78
V in Å³ per cell: 802
E_form (uncorrected) in meV/atom: -286
Total magnetic moment in μB per formula unit: 0.0
Total energy in eV/cell: -47.48

No. 2
A plane-wave DFT calculation with PBE-GGA was carried out for an optimized crystal structure of GaAgI2.

Lattice parameters (Å, degrees): 4.9609 4.9609 26.0697 90.00 90.00 120.00
Last column: nearest neighbours and their distance in Å.
Space group R-3m (No. 166, hexagonal axes)
One atom of each set of equivalent atoms:
Ga: 0.0000 0.0000 0.0000 x3  6 I 3.34
Ag: 0.0000 0.0000 0.5000 x3  2 I 2.63
I: 0.0000 0.0000 0.3990 x6  1 Ag 2.63

Output
Mass density in g/cm3: 3.87
Density of states at the Fermi level in states/eV per cell: 0.0
V in Å³ per cell: 556
E_form (uncorrected) in meV/atom: -209
Total magnetic moment in μB per formula unit: 0.0
Total energy in eV/cell: -29.45

No. 3
A plane-wave DFT calculation with PBE-GGA was carried out for an optimized crystal structure of GaAgI2.

Lattice parameters (Å, degrees): 7.8018 7.8018 7.8018 90.00 90.00 90.00
Last column: nearest neighbours and their distance in Å.
Space group Fm-3m (No. 225)
One atom of each set of equivalent atoms:
Ga: 0.0000 0.0000 0.0000 x4  8 I 3.38
Ag: 0.0000 0.0000 0.5000 x4  8 I 3.38
I: 0.2500 0.2500 0.2500 x8  4 Ga 3.38, 4 Ag 3.38

Output
Mass density in g/cm3: 6.03
Density of states at the Fermi level in states/eV per cell: 0.0
V in Å³ per cell: 475
E_form (uncorrected) in meV/atom: -74
Total magnetic moment in μB per formula unit: 0.0
Total energy in eV/cell: -37.10